#A
This record from the Alexandria database describes a relaxed structure of TePb2S4. The functional is PBE.

a = 7.328 Å, b = 7.328 Å, c = 4.034 Å
α = 90.00°, β = 90.00°, γ = 107.75°
Sites, in units of the cell vectors:
Te 0.000 0.000 0.000
Pb 0.000 0.500 0.500
Pb 0.500 0.000 0.500
S 0.213 0.213 0.500
S 0.228 0.772 0.000
S 0.772 0.228 0.000
S 0.787 0.787 0.500

Properties
SG: Cmmm



#B
This record from the Alexandria database describes a relaxed structure of TePb2S4. The functional is PBE.

a = 8.162 Å, b = 6.669 Å, c = 8.177 Å
α = 90.00°, β = 105.97°, γ = 90.00°
Sites, in units of the cell vectors:
Te 0.124 0.250 0.388
Te 0.876 0.750 0.612
Pb 0.146 0.250 0.917
Pb 0.388 0.750 0.343
Pb 0.612 0.250 0.657
Pb 0.854 0.750 0.083
S 0.153 0.750 0.016
S 0.243 0.516 0.575
S 0.243 0.984 0.575
S 0.350 0.250 0.247
S 0.650 0.750 0.753
S 0.757 0.016 0.425
S 0.757 0.484 0.425
S 0.847 0.250 0.984

Properties
SG: P2_1/m



The most stable of them is #A.